(1)
Entry from Alexandria via LeMat-Bulk: crystalline Ta2MnZn at its relaxed geometry (GGA-PBE).

a = 4.2577 Å, b = 4.2565 Å, c = 3.3672 Å
α = 90.00°, β = 90.00°, γ = 90.00°
Each line ends with the local moment (μB).
Fractional coordinates of all 4 atoms:
1 Mn 0.0000 0.5000 0.5000  0.67
2 Ta 0.0000 0.0000 0.0000  -0.07
3 Ta 0.5000 0.5000 0.0000  -0.07
4 Zn 0.5000 0.0000 0.5000  -0.01

Results
- DOS at the Fermi energy (states/eV per cell) = 3.5
- SG = P4/mmm, No. 123
- formation energy from the elements (eV/atom) = 0.0592


(2)
Entry from Alexandria via LeMat-Bulk: crystalline TlSb2Mo at its relaxed geometry (GGA-PBE).

a = 4.8735 Å, b = 3.8155 Å, c = 5.4565 Å
α = 69.57°, β = 90.00°, γ = 90.00°
Fractional coordinates of all 4 atoms:
1 Mo 0.5000 0.9352 0.7533
2 Sb 0.0000 0.8077 0.0107
3 Sb 0.5000 0.2260 0.1723
4 Tl 0.0000 0.5311 0.5637

Results
- DOS at the Fermi energy (states/eV per cell) = 2.2
- SG = Amm2, No. 38
- distance to the lowest polymorph of the same formula (kJ/mol of formula units) = 133.8